No. 1
Density functional theory data (GGA-PBE) for crystalline YAl2Ru at its relaxed geometry.

Calculated values
Calculated formation energy: -1.58 eV/f.u.
ρ: 5.83 g cm⁻³
Crystal system: cubic

abc: 6.5241 6.5241 6.5241
angles: 90.00 90.00 90.00
With the nearest neighbours (Å) after each atom.
Space group Fm-3m (No. 225)
Asymmetric unit:
Y (0.0000, 0.0000, 0.0000)  8 Al 2.82
Al (0.2500, 0.2500, 0.2500)  4 Ru 2.82, 4 Y 2.82
Ru (0.0000, 0.0000, 0.5000)  8 Al 2.82

No. 2
Density functional theory data (GGA-PBE) for crystalline YAl2Ru at its relaxed geometry.

Calculated values
Calculated formation energy: -1.23 eV/f.u.
ρ: 5.59 g cm⁻³
Crystal system: orthorhombic

abc: 3.9864 4.0597 4.4754
angles: 90.00 90.00 90.00
With the nearest neighbours (Å) after each atom.
Space group Pmmm (No. 47)
Asymmetric unit:
Y (0.0000, 0.0000, 0.0000)  4 Ru 2.84, 8 Al 3.00-3.02
Al (0.0000, 0.5000, 0.5000)  4 Al 2.84, 4 Ru 3.00, 4 Y 3.02
Al (0.5000, 0.0000, 0.5000)  4 Al 2.84, 4 Y 3.00, 4 Ru 3.02
Ru (0.5000, 0.5000, 0.0000)  4 Y 2.84, 8 Al 3.00-3.02

No. 3
Density functional theory data (GGA-PBE) for crystalline YAlRu2 at its relaxed geometry.

Calculated values
Calculated formation energy: -0.59 eV/f.u.
ρ: 7.72 g cm⁻³
Crystal system: tetragonal

abc: 3.8407 3.8407 9.2704
angles: 90.00 90.00 90.00
With the nearest neighbours (Å) after each atom.
Space group I-4m2 (No. 119)
Asymmetric unit:
Y (0.0000, 0.0000, 0.0000)  8 Ru 2.72-3.01, 4 Al 3.01
Al (0.0000, 0.5000, 0.7500)  8 Ru 2.72-3.01, 4 Y 3.01
Ru (0.0000, 0.0000, 0.5000)  4 Y 2.72, 4 Ru 3.01, 4 Al 3.01
Ru (0.0000, 0.5000, 0.2500)  4 Al 2.72, 4 Y 3.01, 4 Ru 3.01